(1)
Material: AlCdCl2
Method: DFT, PBE-GGA
State: optimized geometry

Cell: 3.7566 3.7566 32.2609 Å, 90.00 90.00 120.00°
Space group R-3m (No. 166, hexagonal axes)
One atom of each set of equivalent atoms:
1 Al 0.0000 0.0000 0.0000
2 Cd 0.0000 0.0000 0.5000
3 Cl 0.0000 0.0000 0.3768

## Properties
D(E_F) = 0.249 states/eV/atom



(2)
Material: TbTmScAl
Method: DFT, PBE-GGA
State: optimized geometry

Cell: 7.371 7.371 7.371 Å, 90.00 90.00 90.00°
Space group F-43m (No. 216)
One atom of each set of equivalent atoms:
1 Tb 0.000 0.000 0.000
2 Tm 0.000 0.000 0.500
3 Sc 0.250 0.250 0.750
4 Al 0.250 0.250 0.250

## Properties
formation enthalpy at 0 K = -0.11 eV per atom
D(E_F) = 1.394 states/eV/atom



(3)
Material: NbCdRh
Method: DFT, PBE-GGA
State: optimized geometry

Cell: 2.908 4.636 7.848 Å, 90.00 97.32 90.00°
Space group P2_1/m (No. 11)
One atom of each set of equivalent atoms:
1 Nb 0.143 0.250 0.099
2 Cd 0.257 0.750 0.558
3 Rh 0.432 0.250 0.793

## Properties
formation enthalpy at 0 K = -0.19 eV per atom
D(E_F) = 0.766 states/eV/atom



(4)
Material: BeNi5
Method: DFT, PBE-GGA
State: optimized geometry

Cell: 3.453 7.348 4.896 Å, 90.00 90.00 90.00°
Space group Pmmn (No. 59, origin choice 2)
One atom of each set of equivalent atoms:
1 Be 0.250 0.250 0.126
2 Ni 0.250 0.250 0.625
3 Ni 0.250 0.584 0.122
4 Ni 0.250 0.586 0.631

## Properties
formation enthalpy at 0 K = -0.11 eV per atom
D(E_F) = 1.396 states/eV/atom



Number 1: DFT total energy -0.093 Ha/atom. Number 2: DFT total energy -0.180 Ha/atom. Number 3: DFT total energy -0.232 Ha/atom. Number 4: DFT total energy -0.204 Ha/atom.